No. 1
VASP calculation (PBEsol) on a geometry-optimized Tl3In structure.

a = 3.4260 Å, b = 4.7481 Å, c = 6.7213 Å
α = 90.00°, β = 90.00°, γ = 90.00°
Sites, in units of the cell vectors:
1 Tl 0.0000 0.0000 0.0000
2 Tl 0.5000 0.5000 0.2534
3 Tl 0.5000 0.5000 0.7466
4 In 0.0000 0.0000 0.5000

Summary:
Space-group type: No. 47
Electronic total energy (eV per cell): -10.8
Energy of formation (meV per atom): 20
M_tot (μB per cell): 0.00



No. 2
VASP calculation (PBEsol) on a geometry-optimized CdMo2Os structure.

a = 4.9933 Å, b = 4.9933 Å, c = 4.9933 Å
α = 134.56°, β = 134.56°, γ = 66.21°
Sites, in units of the cell vectors:
1 Cd 0.0000 0.0000 0.0000
2 Mo 0.2500 0.7500 0.5000
3 Mo 0.7500 0.2500 0.5000
4 Os 0.5000 0.5000 0.0000

Summary:
Space-group type: No. 139
Electronic total energy (eV per cell): -35.0
Energy of formation (meV per atom): 495
M_tot (μB per cell): 0.00



No. 3
VASP calculation (PBEsol) on a geometry-optimized Sr2CaWO6 structure.

a = 5.8164 Å, b = 5.8164 Å, c = 5.8164 Å
α = 120.96°, β = 120.96°, γ = 88.34°
Sites, in units of the cell vectors:
1 Sr 0.2500 0.7500 0.5000
2 Sr 0.7500 0.2500 0.5000
3 Ca 0.0000 0.0000 0.0000
4 W 0.5000 0.5000 0.0000
5 O 0.2052 0.6612 0.8664
6 O 0.2685 0.2685 0.0000
7 O 0.3388 0.2052 0.5440
8 O 0.6612 0.7948 0.4560
9 O 0.7315 0.7315 0.0000
10 O 0.7948 0.3388 0.1336

Summary:
Space-group type: No. 87
Electronic total energy (eV per cell): -79.3
M_tot (μB per cell): 0.00
Raw formation energy (kJ/mol of atoms): -272



No. 4
VASP calculation (PBEsol) on a geometry-optimized K2Rh structure.

a = 6.1370 Å, b = 6.1370 Å, c = 9.4522 Å
α = 103.88°, β = 103.88°, γ = 40.76°
Sites, in units of the cell vectors:
1 K 0.0202 0.0202 0.1660
2 K 0.3238 0.3238 0.3268
3 K 0.6762 0.6762 0.6732
4 K 0.9798 0.9798 0.8340
5 Rh 0.2791 0.2791 0.9730
6 Rh 0.7209 0.7209 0.0270

Summary:
Space-group type: No. 12
Electronic total energy (eV per cell): -18.1
Energy of formation (meV per atom): 459
M_tot (μB per cell): 0.00
Energy above the most stable polymorph in this dataset (eV per formula unit): 0.00



No. 5
VASP calculation (PBEsol) on a geometry-optimized CdMoF3 structure.

a = 4.3537 Å, b = 4.3537 Å, c = 4.3537 Å
α = 90.00°, β = 90.00°, γ = 90.00°
Sites, in units of the cell vectors:
1 Cd 0.0000 0.0000 0.0000
2 Mo 0.5000 0.5000 0.5000
3 F 0.0000 0.0000 0.5000
4 F 0.0000 0.5000 0.0000
5 F 0.5000 0.0000 0.0000

Summary:
Space-group type: No. 221
Electronic total energy (eV per cell): -22.6
M_tot (μB per cell): 4.97
Raw formation energy (kJ/mol of atoms): -74



No. 6
VASP calculation (PBEsol) on a geometry-optimized BaCaPt2 structure.

a = 4.9832 Å, b = 4.9832 Å, c = 4.9832 Å
α = 60.00°, β = 60.00°, γ = 60.00°
Sites, in units of the cell vectors:
1 Ba 0.0000 0.0000 0.0000
2 Ca 0.2500 0.2500 0.2500
3 Pt 0.5000 0.5000 0.5000
4 Pt 0.7500 0.7500 0.7500

Summary:
Space-group type: No. 216
Electronic total energy (eV per cell): -19.5
Energy of formation (meV per atom): -332
M_tot (μB per cell): 0.00
Energy above the most stable polymorph in this dataset (eV per formula unit): 1.31



Please write out number 1 again, unchanged.
VASP calculation (PBEsol) on a geometry-optimized Tl3In structure.

a = 3.4260 Å, b = 4.7481 Å, c = 6.7213 Å
α = 90.00°, β = 90.00°, γ = 90.00°
Sites, in units of the cell vectors:
1 Tl 0.0000 0.0000 0.0000
2 Tl 0.5000 0.5000 0.2534
3 Tl 0.5000 0.5000 0.7466
4 In 0.0000 0.0000 0.5000

Summary:
Space-group type: No. 47
Electronic total energy (eV per cell): -10.8
Energy of formation (meV per atom): 20
M_tot (μB per cell): 0.00



Q: Among the records above, which one has the highest M_tot?
A: CdMoF3



Q: M_tot of number 1 (Tl3In)?
A: 0.00 μB per cell



Q: Number 6 is which compound?
A: BaCaPt2